{"formula": "MnCrRuO6", "functional": "PBE+U", "state": "relaxed", "lattice_angstrom": [[5.015, 0.000, 0.000], [-2.507, 4.343, 0.000], [0.000, 0.000, 8.830]], "species": ["Mn", "Mn", "Cr", "Cr", "Ru", "Ru", "O", "O", "O", "O", "O", "O", "O", "O", "O", "O", "O", "O"], "frac_coords": [[0.000, 0.000, 0.000], [0.000, 0.000, 0.500], [0.333, 0.667, 0.250], [0.667, 0.333, 0.750], [0.333, 0.667, 0.750], [0.667, 0.333, 0.250], [0.004, 0.349, 0.628], [0.004, 0.655, 0.872], [0.345, 0.349, 0.872], [0.345, 0.996, 0.628], [0.349, 0.004, 0.128], [0.349, 0.345, 0.372], [0.651, 0.655, 0.628], [0.651, 0.996, 0.872], [0.655, 0.004, 0.372], [0.655, 0.651, 0.128], [0.996, 0.345, 0.128], [0.996, 0.651, 0.372]], "total_energy_ev_per_fu": -65.16, "vol_a3_per_cell": 192.3, "m_tot_mub_per_atom": 0.567}